1.
# DyY2Tm2Sc2 | Alexandria via LeMat-Bulk | PBE | relaxed
data_DyY2Tm2Sc2
_chemical_formula_sum 'Dy2 Y4 Tm4 Sc4'
_cell_length_a 11.217
_cell_length_b 3.409
_cell_length_c 11.509
_cell_angle_alpha 90.00
_cell_angle_beta 109.03
_cell_angle_gamma 90.00
_space_group_name_H-M_alt 'C 1 2/m 1'
_space_group_IT_number 12
loop_
_space_group_symop_operation_xyz
'x,y,z'
'-x,-y,-z'
'-x,y,-z'
'x,-y,z'
'x+1/2,y+1/2,z'
'-x+1/2,-y+1/2,-z'
'-x+1/2,y+1/2,-z'
'x+1/2,-y+1/2,z'
loop_
_atom_site_label
_atom_site_fract_x
_atom_site_fract_y
_atom_site_fract_z
_atom_site_occupancy
Dy1 0.000 0.000 0.000 1
Y1 0.170 0.500 0.587 1
Tm1 0.048 0.500 0.267 1
Sc1 0.227 0.000 0.866 1
# Energy of formation, eV/atom: 0.11
# V, A^3/atom: 29.71
# DFT total energy, eV/f.u.: -38.37

---

2.
# FeCuSe2 | Alexandria via LeMat-Bulk | PBE | relaxed
data_FeCuSe2
_chemical_formula_sum 'Fe2 Cu2 Se4'
_cell_length_a 3.426
_cell_length_b 7.458
_cell_length_c 7.035
_cell_angle_alpha 90.00
_cell_angle_beta 90.00
_cell_angle_gamma 90.00
_space_group_name_H-M_alt 'C m m m'
_space_group_IT_number 65
_space_group_name_Hall '-C 2 2'
loop_
_atom_site_label
_atom_site_fract_x
_atom_site_fract_y
_atom_site_fract_z
_atom_site_occupancy
Fe1 0.000 0.000 0.000 1
Cu1 0.000 0.000 0.500 1
Se1 0.000 0.500 0.248 1
# Uncorrected formation energy, eV per formula unit: 0.87
# V, A^3/atom: 22.47
# DFT total energy, eV/f.u.: -18.66

---

3.
# HPbN2F | Alexandria via LeMat-Bulk | PBE | relaxed
data_HPbN2F
_chemical_formula_sum 'H1 Pb1 N2 F1'
_cell_length_a 3.388
_cell_length_b 3.388
_cell_length_c 4.878
_cell_angle_alpha 90.00
_cell_angle_beta 90.00
_cell_angle_gamma 90.00
_space_group_name_H-M_alt 'P 4/m m m'
_space_group_IT_number 123
_space_group_name_Hall '-P 4 2'
loop_
_atom_site_label
_atom_site_fract_x
_atom_site_fract_y
_atom_site_fract_z
_atom_site_occupancy
H1 0.000 0.000 0.000 1
Pb1 0.500 0.500 0.500 1
N1 0.000 0.500 0.000 1
F1 0.000 0.000 0.500 1
# E above lowest polymorph, meV per atom: 0
# V, A^3/atom: 11.20
# DFT total energy, eV/f.u.: -20.39

---

4.
# YBi3I | Alexandria via LeMat-Bulk | PBE | relaxed
data_YBi3I
_chemical_formula_sum 'Y1 Bi3 I1'
_cell_length_a 5.936
_cell_length_b 5.936
_cell_length_c 5.936
_cell_angle_alpha 90.00
_cell_angle_beta 90.00
_cell_angle_gamma 90.00
_space_group_name_H-M_alt 'P m -3 m'
_space_group_IT_number 221
_space_group_name_Hall '-P 4 2 3'
loop_
_atom_site_label
_atom_site_fract_x
_atom_site_fract_y
_atom_site_fract_z
_atom_site_occupancy
Y1 0.000 0.000 0.000 1
Bi1 0.000 0.000 0.500 1
I1 0.500 0.500 0.500 1
# Uncorrected formation energy, eV per formula unit: 1.17
# E above lowest polymorph, meV per atom: 0
# V, A^3/atom: 41.82
# DFT total energy, eV/f.u.: -18.49

---

5.
# Sm2MoRu3 | Alexandria via LeMat-Bulk | PBE | relaxed
data_Sm2MoRu3
_chemical_formula_sum 'Sm4 Mo2 Ru6'
_cell_length_a 5.6702
_cell_length_b 5.6702
_cell_length_c 8.1236
_cell_angle_alpha 90.00
_cell_angle_beta 90.00
_cell_angle_gamma 120.00
_space_group_name_H-M_alt 'P 63/m m c'
_space_group_IT_number 194
_space_group_name_Hall '-P 6c 2c'
loop_
_atom_site_label
_atom_site_fract_x
_atom_site_fract_y
_atom_site_fract_z
_atom_site_occupancy
Sm1 0.3333 0.6667 0.0619 1
Mo1 0.0000 0.0000 0.0000 1
Ru1 0.1695 0.3390 0.7500 1
# Energy of formation, eV/atom: -0.19
# V, A^3/atom: 18.85
# DFT total energy, eV/f.u.: -49.26

---

6.
# Tl2SbW | Alexandria via LeMat-Bulk | PBE | relaxed
data_Tl2SbW
_chemical_formula_sum 'Tl2 Sb1 W1'
_cell_length_a 4.246
_cell_length_b 4.246
_cell_length_c 5.623
_cell_angle_alpha 90.00
_cell_angle_beta 90.00
_cell_angle_gamma 90.00
_space_group_name_H-M_alt 'P 4/m m m'
_space_group_IT_number 123
_space_group_name_Hall '-P 4 2'
loop_
_atom_site_label
_atom_site_fract_x
_atom_site_fract_y
_atom_site_fract_z
_atom_site_occupancy
Tl1 0.000 0.500 0.000 1
Sb1 0.000 0.000 0.500 1
W1 0.500 0.500 0.500 1
# Uncorrected formation energy, eV per formula unit: 4.17
# E above lowest polymorph, meV per atom: 552
# V, A^3/atom: 25.35
# DFT total energy, eV/f.u.: -17.64

---

7.
# YThTlRu | Alexandria via LeMat-Bulk | PBE | relaxed
data_YThTlRu
_chemical_formula_sum 'Y2 Th2 Tl2 Ru2'
_cell_length_a 6.975
_cell_length_b 4.034
_cell_length_c 8.408
_cell_angle_alpha 90.00
_cell_angle_beta 106.20
_cell_angle_gamma 90.00
_space_group_name_H-M_alt 'C 1 m 1'
_space_group_IT_number 8
loop_
_space_group_symop_operation_xyz
'x,y,z'
'x,-y,z'
'x+1/2,y+1/2,z'
'x+1/2,-y+1/2,z'
loop_
_atom_site_label
_atom_site_fract_x
_atom_site_fract_y
_atom_site_fract_z
_atom_site_occupancy
Y1 0.000 0.000 0.000 1
Th1 0.206 0.000 0.619 1
Tl1 0.265 0.500 0.298 1
Ru1 0.097 0.500 0.794 1
# Energy of formation, eV/atom: -0.30
# V, A^3/atom: 28.40
# DFT total energy, eV/f.u.: -26.72

---

8.
# LaPr5Hg2 | Alexandria via LeMat-Bulk | PBE | relaxed
data_LaPr5Hg2
_chemical_formula_sum 'La2 Pr10 Hg4'
_cell_length_a 3.837
_cell_length_b 10.856
_cell_length_c 12.644
_cell_angle_alpha 90.00
_cell_angle_beta 90.00
_cell_angle_gamma 90.00
_space_group_name_H-M_alt 'I m m m'
_space_group_IT_number 71
_space_group_name_Hall '-I 2 2'
loop_
_atom_site_label
_atom_site_fract_x
_atom_site_fract_y
_atom_site_fract_z
_atom_site_occupancy
La1 0.000 0.000 0.000 1
Pr1 0.000 0.219 0.360 1
Pr2 0.000 0.500 0.000 1
Hg1 0.000 0.500 0.269 1
# Energy of formation, eV/atom: -0.17
# V, A^3/atom: 32.92
# DFT total energy, eV/f.u.: -30.82

---

> Number 5 is which compound?

Sm2MoRu3

---

What did the fifth record say?
# Sm2MoRu3 | Alexandria via LeMat-Bulk | PBE | relaxed
data_Sm2MoRu3
_chemical_formula_sum 'Sm4 Mo2 Ru6'
_cell_length_a 5.6702
_cell_length_b 5.6702
_cell_length_c 8.1236
_cell_angle_alpha 90.00
_cell_angle_beta 90.00
_cell_angle_gamma 120.00
_space_group_name_H-M_alt 'P 63/m m c'
_space_group_IT_number 194
_space_group_name_Hall '-P 6c 2c'
loop_
_atom_site_label
_atom_site_fract_x
_atom_site_fract_y
_atom_site_fract_z
_atom_site_occupancy
Sm1 0.3333 0.6667 0.0619 1
Mo1 0.0000 0.0000 0.0000 1
Ru1 0.1695 0.3390 0.7500 1
# Energy of formation, eV/atom: -0.19
# V, A^3/atom: 18.85
# DFT total energy, eV/f.u.: -49.26

---

What did the second record say?
# FeCuSe2 | Alexandria via LeMat-Bulk | PBE | relaxed
data_FeCuSe2
_chemical_formula_sum 'Fe2 Cu2 Se4'
_cell_length_a 3.426
_cell_length_b 7.458
_cell_length_c 7.035
_cell_angle_alpha 90.00
_cell_angle_beta 90.00
_cell_angle_gamma 90.00
_space_group_name_H-M_alt 'C m m m'
_space_group_IT_number 65
_space_group_name_Hall '-C 2 2'
loop_
_atom_site_label
_atom_site_fract_x
_atom_site_fract_y
_atom_site_fract_z
_atom_site_occupancy
Fe1 0.000 0.000 0.000 1
Cu1 0.000 0.000 0.500 1
Se1 0.000 0.500 0.248 1
# Uncorrected formation energy, eV per formula unit: 0.87
# V, A^3/atom: 22.47
# DFT total energy, eV/f.u.: -18.66